K2CuSnI, single point on PBEsol structure, DFT SCAN; calculated volume = 41.6 Å³/atom; theoretical density = 3.1 g/cm3; M_tot = 1.60 μB per formula unit; raw formation energy = 0.094 eV per atom
1.0
6.5027 0.0000 0.0000
0.0000 6.5027 0.0000
0.0000 0.0000 4.9244
K Cu Sn I
2 1 1 1
direct
0.0000 0.5000 0.0000
0.5000 0.0000 0.0000
0.0000 0.0000 0.5000
0.5000 0.5000 0.5000
0.0000 0.0000 0.0000

KCuTeI2, single point on PBEsol structure, DFT SCAN; calculated volume = 48.1 Å³/atom; theoretical density = 3.3 g/cm3; M_tot = 2.02 μB per formula unit; raw formation energy = 0.664 eV per atom
1.0
6.2387 0.0000 0.0000
0.0000 6.2387 0.0000
0.0000 0.0000 6.1791
K Cu Te I
1 1 1 2
direct
0.0000 0.0000 0.0000
0.5000 0.5000 0.5000
0.0000 0.0000 0.5000
0.0000 0.5000 0.0000
0.5000 0.0000 0.0000

KCuTe2I, single point on PBEsol structure, DFT SCAN; calculated volume = 42.9 Å³/atom; theoretical density = 3.8 g/cm3; M_tot = 2.96 μB per formula unit; raw formation energy = 1.000 eV per atom
1.0
5.9469 0.0000 0.0000
0.0000 5.9469 0.0000
0.0000 0.0000 6.0669
K Cu Te I
1 1 2 1
direct
0.0000 0.0000 0.0000
0.5000 0.5000 0.5000
0.0000 0.5000 0.0000
0.5000 0.0000 0.0000
0.0000 0.0000 0.5000

LaCu3I, single point on PBEsol structure, DFT SCAN; calculated volume = 23.3 Å³/atom; theoretical density = 6.5 g/cm3; M_tot = 0.00 μB per formula unit; raw formation energy = 0.730 eV per atom
1.0
4.8807 0.0000 0.0000
0.0000 4.8807 0.0000
0.0000 0.0000 4.8807
La Cu I
1 3 1
direct
0.0000 0.0000 0.0000
0.0000 0.5000 0.5000
0.5000 0.0000 0.5000
0.5000 0.5000 0.0000
0.5000 0.5000 0.5000

La2CuPdI, single point on PBEsol structure, DFT SCAN; calculated volume = 28.6 Å³/atom; theoretical density = 6.7 g/cm3; offset from the most stable computed form = 0.00 eV/f.u.; M_tot = 0.00 μB per formula unit; raw formation energy = 0.028 eV per atom
1.0
5.4409 0.0000 0.0000
0.0000 5.4409 0.0000
0.0000 0.0000 4.8361
La Cu Pd I
2 1 1 1
direct
0.0000 0.5000 0.0000
0.5000 0.0000 0.0000
0.0000 0.0000 0.0000
0.5000 0.5000 0.5000
0.0000 0.0000 0.5000

La2CuPdI, single point on PBEsol structure, DFT SCAN; calculated volume = 31.3 Å³/atom; theoretical density = 6.1 g/cm3; offset from the most stable computed form = 1.40 eV/f.u.; M_tot = 0.00 μB per formula unit; raw formation energy = 0.308 eV per atom
1.0
5.8326 0.0000 0.0000
0.0000 5.8326 0.0000
0.0000 0.0000 4.6068
La Cu Pd I
2 1 1 1
direct
0.0000 0.5000 0.0000
0.5000 0.0000 0.0000
0.0000 0.0000 0.5000
0.5000 0.5000 0.5000
0.0000 0.0000 0.0000

LaTlCuI2, single point on PBEsol structure, DFT SCAN; calculated volume = 40.1 Å³/atom; theoretical density = 5.5 g/cm3; M_tot = 0.00 μB per formula unit; raw formation energy = -0.298 eV per atom
1.0
6.1525 0.0000 0.0000
0.0000 6.1525 0.0000
0.0000 0.0000 5.2955
La Tl Cu I
1 1 1 2
direct
0.0000 0.0000 0.0000
0.5000 0.5000 0.5000
0.0000 0.0000 0.5000
0.0000 0.5000 0.0000
0.5000 0.0000 0.0000

Li2CuI, single point on PBEsol structure, DFT SCAN; calculated volume = 19.6 Å³/atom; theoretical density = 4.3 g/cm3; M_tot = 0.00 μB per formula unit; raw formation energy = -0.113 eV per atom
1.0
0.0000 3.3953 3.3953
3.3953 0.0000 3.3953
3.3953 3.3953 0.0000
Li Cu I
2 1 1
direct
0.2500 0.2500 0.2500
0.7500 0.7500 0.7500
0.0000 0.0000 0.0000
0.5000 0.5000 0.5000

> Among the records above, which one has the lowest theoretical density?

K2CuSnI

> What is the calculated volume in the fifth record?

28.6 Å³/atom

> Which formula does entry 6 have?

La2CuPdI